DFT (PBE) results for a geometry-optimized BaMg2Ru structure.

```
BaMg2Ru
1.0
3.378 0.000 0.000
0.000 3.378 0.000
0.000 0.000 8.531
Ba Mg Ru
1 2 1
Direct
0.000 0.000 0.000
0.500 0.500 0.337
0.500 0.500 0.663
0.000 0.000 0.500
```

formation energy	0.192	eV per atom
N(E_F)	1.4009	states/eV/atom
space-group type	No. 123
spin magnetization	0.4	μB/f.u.